Entry 1:
Density functional theory data (PBE-GGA) for a relaxed Ba6AsP2Cl crystal.

Structure (extended XYZ):
```
20
Lattice="7.713 0.000 0.000 0.000 8.581 0.000 -6.915 0.000 12.304" Properties=species:S:1:pos:R:3 pbc="T T T"
Ba -1.120 0.517 2.982
Ba -4.578 3.773 9.134
Ba 1.435 5.945 1.203
Ba -2.023 6.927 7.355
Ba 2.564 1.561 1.074
Ba -0.894 2.730 7.226
Ba 1.691 5.851 5.078
Ba -1.767 7.021 11.230
Ba 2.820 1.654 4.949
Ba -0.638 2.636 11.101
Ba 5.375 4.808 3.170
Ba 1.917 8.064 9.322
As 0.000 0.000 0.000
As -3.458 4.291 6.152
P -2.731 0.956 9.341
P 0.726 3.334 3.189
P 0.071 5.247 9.115
P 3.528 7.625 2.963
Cl 0.399 0.000 6.152
Cl 3.856 4.291 0.000
```

Output
The value obtained for the final energy is -39.62 eV per formula unit.

Entry 2:
Density functional theory data (PBE-GGA) for a relaxed Ba6AsP2Cl2 crystal.

Structure (extended XYZ):
```
11
Lattice="4.084 -7.093 0.000 4.084 7.093 0.000 -2.707 0.000 7.658" Properties=species:S:1:pos:R:3 pbc="T T T"
Ba 0.008 2.423 5.946
Ba 1.339 0.000 1.708
Ba 0.008 -2.423 5.946
Ba 5.452 2.423 1.712
Ba 4.122 0.000 5.950
Ba 5.452 -2.423 1.712
As 4.084 0.000 0.000
P 4.084 4.734 0.000
P 4.084 -4.734 0.000
Cl 2.730 2.367 3.829
Cl 2.730 -2.367 3.829
```

Output
The value obtained for the final energy is -46.56 eV per formula unit.

Entry 3:
Density functional theory data (PBE-GGA) for a relaxed BaAsP2Cl crystal.

Structure (extended XYZ):
```
5
Lattice="6.440 0.000 0.000 0.000 6.440 0.000 0.000 0.000 5.803" Properties=species:S:1:pos:R:3 pbc="T T T"
Ba 0.000 0.000 0.000
As 3.220 3.220 2.902
P 0.000 3.220 0.000
P 3.220 0.000 0.000
Cl 0.000 0.000 2.902
```

Output
The value obtained for the final energy is -15.34 eV per formula unit.

Entry 4:
Density functional theory data (PBE-GGA) for a relaxed BaAsP2Cl crystal.

Structure (extended XYZ):
```
5
Lattice="4.778 0.000 0.000 0.000 4.778 0.000 0.000 0.000 5.632" Properties=species:S:1:pos:R:3 pbc="T T T"
Ba 0.000 0.000 0.000
As 2.389 2.389 2.816
P 0.000 2.389 2.816
P 2.389 0.000 2.816
Cl 2.389 2.389 0.000
```

Output
The value obtained for the final energy is -21.33 eV per formula unit.

Entry 5:
Density functional theory data (PBE-GGA) for a relaxed BaAs2PdCl crystal.

Structure (extended XYZ):
```
5
Lattice="5.321 0.000 0.000 0.000 5.321 0.000 0.000 0.000 4.667" Properties=species:S:1:pos:R:3 pbc="T T T"
Ba 0.000 0.000 0.000
As 0.000 2.660 2.333
As 2.660 0.000 2.333
Pd 2.660 2.660 0.000
Cl 2.660 2.660 2.333
```

Output
The value obtained for the final energy is -17.86 eV per formula unit.

Entry 6:
Density functional theory data (PBE-GGA) for a relaxed Ba4AsPdCl2 crystal.

Structure (extended XYZ):
```
8
Lattice="8.152 0.000 0.000 0.000 4.667 0.000 -2.474 0.000 7.808" Properties=species:S:1:pos:R:3 pbc="T T T"
Ba 1.400 0.000 1.812
Ba 0.151 2.333 6.084
Ba 5.527 2.333 1.724
Ba 4.278 0.000 5.996
As 4.076 0.000 0.000
Pd 0.000 2.333 0.000
Cl -1.237 0.000 3.904
Cl 2.839 2.333 3.904
```

Output
The value obtained for the final energy is -32.67 eV per formula unit.

Entry 7:
Density functional theory data (PBE-GGA) for a relaxed Ba2PmAs2Cl2 crystal.

Structure (extended XYZ):
```
7
Lattice="-2.818 2.818 7.995 2.818 -2.818 7.995 2.818 2.818 -7.995" Properties=species:S:1:pos:R:3 pbc="T T T"
Ba 0.000 0.000 2.009
Ba 0.000 0.000 13.981
Pm 0.000 0.000 7.995
As 2.818 0.000 0.000
As 0.000 2.818 0.000
Cl 0.000 0.000 5.079
Cl 0.000 0.000 10.911
```

Output
The value obtained for the final energy is -32.61 eV per formula unit.

Entry 8:
Density functional theory data (PBE-GGA) for a relaxed Ba8AsPt3Cl4 crystal.

Structure (extended XYZ):
```
16
Lattice="4.607 2.660 7.916 -4.607 2.660 7.916 0.000 -5.320 7.916" Properties=species:S:1:pos:R:3 pbc="T T T"
Ba -2.346 -1.355 13.615
Ba 0.000 0.000 5.801
Ba 0.000 -2.709 10.133
Ba -2.346 1.355 10.133
Ba 2.346 -1.355 13.615
Ba 0.000 2.709 13.615
Ba 0.000 0.000 17.947
Ba 2.346 1.355 10.133
As 0.000 0.000 11.874
Pt -4.607 0.000 11.874
Pt -2.304 1.330 3.958
Pt 2.304 1.330 3.958
Cl 0.000 0.000 0.000
Cl -2.304 -1.330 7.916
Cl -2.304 1.330 15.832
Cl 0.000 2.660 7.916
```

Output
The value obtained for the final energy is -68.56 eV per formula unit.

Entry 9:
Density functional theory data (PBE-GGA) for a relaxed Ba6AsPt2Cl3 crystal.

Structure (extended XYZ):
```
12
Lattice="4.007 -6.949 0.000 4.007 6.949 0.000 -2.683 0.000 7.859" Properties=species:S:1:pos:R:3 pbc="T T T"
Ba -0.032 2.360 6.094
Ba 1.283 0.000 1.772
Ba -0.032 -2.360 6.094
Ba 5.362 2.360 1.765
Ba 4.048 0.000 6.087
Ba 5.362 -2.360 1.765
As 4.007 0.000 0.000
Pt 4.007 4.630 0.000
Pt 4.007 -4.630 0.000
Cl -1.342 0.000 3.930
Cl 2.665 2.257 3.930
Cl 2.665 -2.257 3.930
```

Output
The value obtained for the final energy is -51.20 eV per formula unit.

Entry 10:
Density functional theory data (PBE-GGA) for a relaxed BaAs2PtCl crystal.

Structure (extended XYZ):
```
5
Lattice="4.760 0.000 0.000 0.000 4.760 0.000 0.000 0.000 6.514" Properties=species:S:1:pos:R:3 pbc="T T T"
Ba 0.000 0.000 0.000
As 0.000 2.380 3.257
As 2.380 0.000 3.257
Pt 2.380 2.380 3.257
Cl 2.380 2.380 0.000
```

Output
The value obtained for the final energy is -21.92 eV per formula unit.

Entry 11:
Density functional theory data (PBE-GGA) for a relaxed Ba2AsPtCl crystal.

Structure (extended XYZ):
```
5
Lattice="6.148 0.000 0.000 0.000 6.148 0.000 0.000 0.000 4.671" Properties=species:S:1:pos:R:3 pbc="T T T"
Ba 0.000 3.074 0.000
Ba 3.074 0.000 0.000
As 0.000 0.000 2.336
Pt 3.074 3.074 0.000
Cl 3.074 3.074 2.336
```

Output
The value obtained for the final energy is -19.79 eV per formula unit.

Entry 12:
Density functional theory data (PBE-GGA) for a relaxed Ba4AsPtCl2 crystal.

Structure (extended XYZ):
```
8
Lattice="8.113 0.000 0.000 0.000 4.653 0.000 -2.484 0.000 7.803" Properties=species:S:1:pos:R:3 pbc="T T T"
Ba 1.371 0.000 1.788
Ba 0.111 2.326 6.091
Ba 5.519 2.326 1.712
Ba 4.258 0.000 6.015
As 4.056 0.000 0.000
Pt 0.000 2.326 0.000
Cl -1.242 0.000 3.901
Cl 2.815 2.326 3.901
```

Output
The value obtained for the final energy is -34.17 eV per formula unit.

| no. | theoretical density (Mg/m³) |
| --- | --- |
| 1 | 4.1 |
| 2 | 3.9 |
| 3 | 2.1 |
| 4 | 4.0 |
| 5 | 5.4 |
| 6 | 4.5 |
| 7 | 4.2 |
| 8 | 5.4 |
| 9 | 5.3 |
| 10 | 5.8 |
| 11 | 5.5 |
| 12 | 5.0 |